# CaNi2Sb PBE optimized geometry
data_CaNi2Sb
_chemical_formula_sum 'Ca1 Ni2 Sb1'
_symmetry_space_group_name_H-M 'P 1'
_symmetry_Int_Tables_number 1
_cell_length_a 4.1504
_cell_length_b 3.8459
_cell_length_c 4.9598
_cell_angle_alpha 67.30
_cell_angle_beta 90.00
_cell_angle_gamma 90.00
loop_
_symmetry_equiv_pos_as_xyz
'x,y,z'
loop_
_atom_site_label
_atom_site_fract_x
_atom_site_fract_y
_atom_site_fract_z
Ni1 0.5000 0.0556 0.2708
Ni2 0.0000 0.1887 0.9943
Sb1 0.0000 0.4846 0.4032
Ca1 0.5000 0.7712 0.8318
# Space-group type: Pm, No. 6
# Calculated density, Mg/m³: 6.3
# Uncorrected energy, eV per atom: -4.67
# Formation energy (no corrections), eV per atom: -0.2456